--- A ---
## Th2FeC (GGA-PBE)

Data for crystalline Th2FeC at its relaxed geometry.

Computed properties:
density of states at the Fermi level	2.80	states/eV/cell

```
4
Lattice="-1.260 -0.984 3.157 -0.837 -3.386 0.593 6.838 -2.870 3.817" Properties=species:S:1:pos:R:3 pbc="T T T"
C 2.371 -3.620 3.784
Fe 0.000 0.000 0.000
Th 4.496 -2.431 3.019
Th 0.246 -4.809 4.548
```

***

--- B ---
## Th2FeC (GGA-PBE)

Data for crystalline Th2FeC at its relaxed geometry.

Computed properties:
density of states at the Fermi level	6.20	states/eV/cell

```
8
Lattice="3.803 0.000 0.000 0.000 3.787 -0.673 0.000 0.050 11.280" Properties=species:S:1:pos:R:3 pbc="T T T"
Th 2.852 2.643 3.885
Th 0.951 1.194 6.723
Th 2.852 3.542 8.944
Th 0.951 0.295 1.663
Fe 0.951 1.818 10.237
Fe 2.852 2.019 0.371
C 0.951 0.747 4.205
C 2.852 3.091 6.403
```

***

We find B to be the most stable, with the next structure 0.557 eV/atom higher.

***

--- A ---
## Ti2FeC2 (GGA-PBE)

Data for crystalline Ti2FeC2 at its relaxed geometry.

Computed properties:
density of states at the Fermi level	5.96	states/eV/cell

```
10
Lattice="-2.993 -5.092 -1.857 4.838 -3.466 1.706 -1.087 -0.279 2.516" Properties=species:S:1:pos:R:3 pbc="T T T"
C 2.184 -3.305 2.086
C 1.488 -6.423 1.439
C -1.426 -5.532 0.280
C -0.729 -2.413 0.926
Fe 0.000 0.000 0.000
Fe 0.923 -4.279 -0.075
Ti 3.071 -4.757 0.800
Ti 0.574 -6.586 -0.481
Ti -1.226 -3.801 -0.950
Ti 1.271 -1.971 0.331
```

***

--- B ---
## Ti2FeC2 (GGA-PBE)

Data for crystalline Ti2FeC2 at its relaxed geometry.

Computed properties:
density of states at the Fermi level	2.45	states/eV/cell

```
5
Lattice="3.955 0.000 0.000 0.000 3.955 0.000 1.977 1.977 4.058" Properties=species:S:1:pos:R:3 pbc="T T T"
C 3.955 1.977 2.029
C 1.977 3.955 2.029
Fe 0.000 0.000 0.000
Ti 1.977 1.977 1.478
Ti 3.955 3.955 2.579
```

***

We find B to be the most stable, with the next structure 0.274 eV/atom higher.

***

--- A ---
## TiFeC3 (GGA-PBE)

Data for crystalline TiFeC3 at its relaxed geometry.

Computed properties:
density of states at the Fermi level	9.74	states/eV/cell

```
5
Lattice="-2.790 2.403 0.212 -2.412 -2.777 -0.269 -0.016 -0.342 3.673" Properties=species:S:1:pos:R:3 pbc="T T T"
C -1.206 -1.389 -0.135
C -0.008 -0.171 1.836
C -1.395 1.202 0.106
Fe 0.000 0.000 0.000
Ti -2.609 -0.358 1.808
```

***

--- B ---
## TiFeC3 (GGA-PBE)

Data for crystalline TiFeC3 at its relaxed geometry.

Computed properties:
density of states at the Fermi level	9.59	states/eV/cell

```
5
Lattice="-3.274 -0.687 2.075 1.194 -3.692 0.662 1.830 1.180 3.279" Properties=species:S:1:pos:R:3 pbc="T T T"
C 0.597 -1.846 0.331
C 0.915 0.590 1.639
C -1.637 -0.344 1.037
Fe -0.124 -1.600 3.008
Ti 0.000 0.000 0.000
```

***

We find A to be the most stable, with the next structure 0.881 eV/atom higher.

***

--- A ---
## TiFe3C (GGA-PBE)

Data for crystalline TiFe3C at its relaxed geometry.

Computed properties:
density of states at the Fermi level	7.00	states/eV/cell

```
5
Lattice="4.309 0.000 0.000 0.000 4.309 0.000 0.000 0.000 4.309" Properties=species:S:1:pos:R:3 pbc="T T T"
C 2.155 2.155 2.155
Fe 0.000 2.155 0.000
Fe 0.000 0.000 2.155
Fe 2.155 0.000 0.000
Ti 0.000 0.000 0.000
```

***

--- B ---
## TiFe3C (GGA-PBE)

Data for crystalline TiFe3C at its relaxed geometry.

Computed properties:
density of states at the Fermi level	2.88	states/eV/cell

```
5
Lattice="3.748 0.000 0.000 0.000 3.748 0.000 0.000 0.000 3.748" Properties=species:S:1:pos:R:3 pbc="T T T"
C 0.000 0.000 0.000
Fe 0.000 1.874 0.000
Fe 0.000 0.000 1.874
Fe 1.874 0.000 0.000
Ti 1.874 1.874 1.874
```

***

We find B to be the most stable, with the next structure 2.602 eV/atom higher.

***

--- A ---
## Tl2FeC (GGA-PBE)

Data for crystalline Tl2FeC at its relaxed geometry.

Computed properties:
density of states at the Fermi level	4.53	states/eV/cell

```
4
Lattice="0.348 -1.640 4.283 -3.507 0.477 2.937 -2.459 -3.676 1.262" Properties=species:S:1:pos:R:3 pbc="T T T"
C 0.000 0.000 0.000
Tl -1.404 -1.210 2.120
Tl -4.213 -3.629 6.361
Fe -2.809 -2.419 4.241
```

***

--- B ---
## Tl2FeC (GGA-PBE)

Data for crystalline Tl2FeC at its relaxed geometry.

Computed properties:
density of states at the Fermi level	7.61	states/eV/cell

```
8
Lattice="-3.173 4.316 -4.035 -2.740 -5.133 -3.335 -5.727 -0.371 -1.466" Properties=species:S:1:pos:R:3 pbc="T T T"
C -2.956 -0.408 -3.685
C -5.712 -2.956 -4.243
Tl -3.604 1.755 -3.111
Tl -3.694 -2.553 -3.150
Tl -6.645 -0.832 -4.025
Tl -9.337 -0.746 -7.388
Fe 0.000 0.000 0.000
Fe -5.928 1.768 -4.593
```

***

We find B to be the most stable, with the next structure 0.322 eV/atom higher.

***

--- A ---
## TmFe2C (GGA-PBE)

Data for crystalline TmFe2C at its relaxed geometry.

Computed properties:
density of states at the Fermi level	3.82	states/eV/cell

```
4
Lattice="-1.417 -1.977 1.889 1.402 -2.615 0.826 2.582 1.459 5.974" Properties=species:S:1:pos:R:3 pbc="T T T"
C 0.000 0.000 0.000
Tm 1.284 -1.566 4.345
Fe 2.220 -2.009 7.094
Fe 0.347 -1.123 1.595
```

***

--- B ---
## TmFe2C (GGA-PBE)

Data for crystalline TmFe2C at its relaxed geometry.

Computed properties:
density of states at the Fermi level	5.12	states/eV/cell

```
8
Lattice="3.418 0.000 0.000 0.000 3.538 0.000 -1.709 0.000 8.325" Properties=species:S:1:pos:R:3 pbc="T T T"
Tm 0.000 0.885 6.440
Tm 1.709 2.654 1.884
Fe 1.709 0.885 4.155
Fe 0.000 2.654 4.169
Fe 0.000 0.885 0.671
Fe 1.709 2.654 7.653
C 0.000 0.885 3.120
C 1.709 2.654 5.204
```

***

We find B to be the most stable, with the next structure 0.268 eV/atom higher.

***

--- A ---
## U2FeC (GGA-PBE)

Data for crystalline U2FeC at its relaxed geometry.

Computed properties:
density of states at the Fermi level	4.69	states/eV/cell

```
4
Lattice="2.890 0.000 0.000 0.000 2.890 0.000 0.000 0.000 6.854" Properties=species:S:1:pos:R:3 pbc="T T T"
C 1.445 1.445 0.000
U 0.000 0.000 5.358
U 0.000 0.000 1.496
Fe 1.445 1.445 3.427
```

***

--- B ---
## U2FeC (GGA-PBE)

Data for crystalline U2FeC at its relaxed geometry.

Computed properties:
density of states at the Fermi level	14.29	states/eV/cell

```
8
Lattice="-1.144 0.136 2.698 -2.611 -3.920 -0.918 6.124 -4.744 2.836" Properties=species:S:1:pos:R:3 pbc="T T T"
U -1.924 -3.187 0.139
U 4.294 -5.341 4.477
U 1.902 -3.488 3.370
U 0.467 -5.039 1.247
Fe 0.652 -2.043 1.174
Fe 1.717 -6.484 3.443
C -0.567 -2.945 2.297
C 2.937 -5.582 2.319
```

***

We find B to be the most stable, with the next structure 0.101 eV/atom higher.

***

--- A ---
## VFeC3 (GGA-PBE)

Data for crystalline VFeC3 at its relaxed geometry.

Computed properties:
density of states at the Fermi level	4.90	states/eV/cell

```
5
Lattice="-3.809 -0.216 -0.564 -0.068 -3.425 1.773 -0.600 1.761 3.378" Properties=species:S:1:pos:R:3 pbc="T T T"
C -0.034 -1.712 0.886
C -0.300 0.880 1.689
C -1.905 -0.108 -0.282
Fe -2.239 -0.940 2.294
V 0.000 0.000 0.000
```

***

--- B ---
## VFeC3 (GGA-PBE)

Data for crystalline VFeC3 at its relaxed geometry.

Computed properties:
density of states at the Fermi level	6.01	states/eV/cell

```
5
Lattice="-2.250 2.676 -1.194 -2.812 -1.548 1.830 0.825 2.023 2.979" Properties=species:S:1:pos:R:3 pbc="T T T"
C -1.406 -0.774 0.915
C 0.413 1.011 1.490
C -1.125 1.338 -0.597
Fe 0.000 0.000 0.000
V -2.118 1.576 1.808
```

***

We find B to be the most stable, with the next structure 0.122 eV/atom higher.